i | Material: FePCl2
Method: DFT, PBE
State: optimized geometry

```
4
Lattice="4.6110 0.0000 0.0000 2.3055 3.9932 0.0000 2.3055 1.3311 3.7649" Properties=species:S:1:pos:R:3 pbc="T T T"
Cl 0.0000 0.0000 0.0000
Cl 2.3055 1.3311 0.9412
P 6.9165 3.9932 2.8236
Fe 4.6110 2.6622 1.8824
```

Summary:
ρ ... 3.778 Mg/m³
Total moment ... 2.9 μB/cell
Density of states at the Fermi level ... 2.22 states/eV/cell



ii | Material: FePCl2
Method: DFT, PBE
State: optimized geometry

```
4
Lattice="3.4561 0.0000 0.0000 0.0000 7.9952 1.7796 0.0000 7.2008 5.2101" Properties=species:S:1:pos:R:3 pbc="T T T"
Cl 0.0000 15.0133 6.9261
Cl 1.7281 4.0712 2.7390
Fe 0.0000 8.8164 3.7560
P 1.7281 10.0891 4.0532
```

Summary:
ρ ... 2.628 Mg/m³
Total moment ... 2.6 μB/cell
Density of states at the Fermi level ... 2.67 states/eV/cell



Most stable structure: ii



i | Material: FePCl3
Method: DFT, PBE
State: optimized geometry

```
5
Lattice="4.5403 0.0000 0.0000 0.0000 4.5403 0.0000 0.0000 0.0000 4.5403" Properties=species:S:1:pos:R:3 pbc="T T T"
Cl 2.2701 0.0000 0.0000
Cl 0.0000 2.2701 0.0000
Cl 0.0000 0.0000 2.2701
Fe 0.0000 0.0000 0.0000
P 2.2701 2.2701 2.2701
```

Summary:
ρ ... 3.427 Mg/m³
Total moment ... 0.0 μB/cell
Density of states at the Fermi level ... 5.39 states/eV/cell



ii | Material: FePCl3
Method: DFT, PBE
State: optimized geometry

```
10
Lattice="4.7705 -8.2628 0.0000 4.7705 8.2628 0.0000 0.0000 0.0000 3.7441" Properties=species:S:1:pos:R:3 pbc="T T T"
P 0.0000 0.0000 0.0000
P 0.0000 0.0000 1.8721
Cl 4.7705 -4.5230 2.8081
Cl 6.3023 -1.8699 2.8081
Cl 4.7705 4.5230 0.9360
Cl 3.2387 -1.8699 2.8081
Cl 3.2387 1.8699 0.9360
Cl 6.3023 1.8699 0.9360
Fe 4.7705 2.7543 2.8081
Fe 4.7705 -2.7543 0.9360
```

Summary:
ρ ... 2.174 Mg/m³
Total moment ... 9.3 μB/cell
Density of states at the Fermi level ... 6.57 states/eV/cell



iii | Material: FePCl3
Method: DFT, PBE
State: optimized geometry

```
5
Lattice="4.8861 0.0000 0.0000 0.0000 4.8861 0.0000 0.0000 0.0000 4.8861" Properties=species:S:1:pos:R:3 pbc="T T T"
Cl 2.4431 0.0000 0.0000
Cl 0.0000 0.0000 2.4431
Cl 0.0000 2.4431 0.0000
P 0.0000 0.0000 0.0000
Fe 2.4431 2.4431 2.4431
```

Summary:
ρ ... 2.750 Mg/m³
Total moment ... 4.0 μB/cell
Density of states at the Fermi level ... 14.75 states/eV/cell



Most stable structure: ii



i | Material: FePPbCl2
Method: DFT, PBE
State: optimized geometry

```
5
Lattice="-2.5176 -4.1762 -3.1172 -2.7701 -1.8598 4.7290 -4.7018 3.7805 -1.2674" Properties=species:S:1:pos:R:3 pbc="T T T"
Fe -4.9948 -1.1278 0.1722
Cl -1.2588 -2.0881 -1.5586
Cl -1.3851 -0.9299 2.3645
Pb 0.0000 0.0000 0.0000
P -2.3509 1.8903 -0.6337
```

Summary:
ρ ... 2.934 Mg/m³
Total moment ... 5.6 μB/cell
Density of states at the Fermi level ... 6.41 states/eV/cell



ii | Material: FePPbCl2
Method: DFT, PBE
State: optimized geometry

```
5
Lattice="-1.4460 4.5201 -0.3419 -0.0262 -0.3672 -4.7438 -4.5844 -1.4561 0.1381" Properties=species:S:1:pos:R:3 pbc="T T T"
P -2.2922 -0.7281 0.0690
Pb -3.0283 1.3483 -2.4738
Cl -0.0131 -0.1836 -2.3719
Cl -0.7230 2.2600 -0.1710
Fe 0.0000 0.0000 0.0000
```

Summary:
ρ ... 5.563 Mg/m³
Total moment ... 3.6 μB/cell
Density of states at the Fermi level ... 4.27 states/eV/cell



Most stable structure: ii



i | Material: FeP2PdCl
Method: DFT, PBE
State: optimized geometry

```
5
Lattice="-1.0534 -0.0652 4.1008 3.7717 -1.6783 0.9421 1.8663 4.5035 0.5510" Properties=species:S:1:pos:R:3 pbc="T T T"
P 1.8859 -0.8392 0.4711
P -0.5267 -0.0326 2.0504
Fe 0.0000 0.0000 0.0000
Pd 2.2923 1.3799 2.7970
Cl 0.9331 2.2517 0.2755
```

Summary:
ρ ... 4.902 Mg/m³
Total moment ... 0.7 μB/cell
Density of states at the Fermi level ... 3.58 states/eV/cell



ii | Material: FeP2PdCl
Method: DFT, PBE
State: optimized geometry

```
5
Lattice="4.6404 0.0000 0.0000 0.0000 4.6404 0.0000 0.0000 0.0000 4.8937" Properties=species:S:1:pos:R:3 pbc="T T T"
P 2.3202 0.0000 0.0000
P 0.0000 2.3202 0.0000
Fe 2.3202 2.3202 2.4468
Cl 0.0000 0.0000 2.4468
Pd 0.0000 0.0000 0.0000
```

Summary:
ρ ... 4.092 Mg/m³
Total moment ... 3.3 μB/cell
Density of states at the Fermi level ... 6.24 states/eV/cell



Most stable structure: i



i | Material: RbFePCl2
Method: DFT, PBE
State: optimized geometry

```
5
Lattice="6.0868 0.0000 0.0000 0.0000 6.0868 0.0000 0.0000 0.0000 6.1726" Properties=species:S:1:pos:R:3 pbc="T T T"
Rb 0.0000 0.0000 0.0000
P 0.0000 0.0000 3.0863
Fe 3.0434 3.0434 3.0863
Cl 3.0434 0.0000 0.0000
Cl 0.0000 3.0434 0.0000
```

Summary:
ρ ... 1.766 Mg/m³
Total moment ... 6.9 μB/cell
Density of states at the Fermi level ... 9.29 states/eV/cell



ii | Material: RbFePCl2
Method: DFT, PBE
State: optimized geometry

```
5
Lattice="-3.2842 2.8057 -3.0093 -2.4210 -4.4311 -1.4891 -2.7386 0.3745 3.3379" Properties=species:S:1:pos:R:3 pbc="T T T"
Cl -1.6421 1.4028 -1.5047
Cl -1.2105 -2.2156 -0.7446
Fe 0.0000 0.0000 0.0000
P -1.3693 0.1872 1.6689
Rb -4.2219 -0.6255 -0.5803
```

Summary:
ρ ... 3.362 Mg/m³
Total moment ... 1.9 μB/cell
Density of states at the Fermi level ... 3.86 states/eV/cell



Most stable structure: ii



i | Material: RbFeP2Cl
Method: DFT, PBE
State: optimized geometry

```
5
Lattice="-4.2559 3.4182 -1.1603 -2.4257 -1.3797 4.8327 2.6908 4.2173 2.5547" Properties=species:S:1:pos:R:3 pbc="T T T"
Fe -1.9954 3.1279 3.1136
Rb 0.0000 0.0000 0.0000
P -1.2129 -0.6899 2.4164
P -2.1279 1.7091 -0.5801
Cl 1.3454 2.1087 1.2773
```

Summary:
ρ ... 2.266 Mg/m³
Total moment ... 5.5 μB/cell
Density of states at the Fermi level ... 9.90 states/eV/cell



ii | Material: RbFeP2Cl
Method: DFT, PBE
State: optimized geometry

```
5
Lattice="-0.2238 4.3053 0.0143 -2.5075 -0.1420 3.5040 5.6227 0.2789 4.0349" Properties=species:S:1:pos:R:3 pbc="T T T"
Rb 1.4457 2.2211 3.7766
Cl 2.8113 0.1395 2.0175
Fe 0.0000 0.0000 0.0000
P -0.1119 2.1526 0.0071
P -1.2537 -0.0710 1.7520
```

Summary:
ρ ... 3.079 Mg/m³
Total moment ... 1.8 μB/cell
Density of states at the Fermi level ... 2.17 states/eV/cell



Most stable structure: ii



i | Material: FeRePCl2
Method: DFT, PBE
State: optimized geometry

```
5
Lattice="4.3373 0.0000 0.0000 0.0000 4.3373 0.0000 0.0000 0.0000 5.3299" Properties=species:S:1:pos:R:3 pbc="T T T"
Cl 0.0000 2.1687 0.0000
Cl 2.1687 0.0000 0.0000
Fe 0.0000 0.0000 0.0000
Re 2.1687 2.1687 2.6650
P 0.0000 0.0000 2.6650
```

Summary:
ρ ... 5.696 Mg/m³
Total moment ... 6.9 μB/cell
Density of states at the Fermi level ... 3.93 states/eV/cell



ii | Material: FeRePCl2
Method: DFT, PBE
State: optimized geometry

```
5
Lattice="-1.4370 -4.4874 -1.2530 4.6581 -1.4105 -0.2908 -0.0902 -1.2191 4.4692" Properties=species:S:1:pos:R:3 pbc="T T T"
Cl 2.3291 -0.7053 -0.1454
Cl -0.7185 -2.2437 -0.6265
P -0.0451 -0.6095 2.2346
Re 0.0000 0.0000 0.0000
Fe 1.5654 -3.5585 1.4627
```

Summary:
ρ ... 5.185 Mg/m³
Total moment ... 5.3 μB/cell
Density of states at the Fermi level ... 8.12 states/eV/cell



Most stable structure: ii



i | Material: FeP2RhCl
Method: DFT, PBE
State: optimized geometry

```
5
Lattice="-1.2322 1.9728 -3.5192 0.0939 -3.6647 -2.0872 -4.5070 -0.7687 1.1471" Properties=species:S:1:pos:R:3 pbc="T T T"
P -0.6161 0.9864 -1.7596
P 0.0469 -1.8323 -1.0436
Cl -2.2535 -0.3844 0.5735
Fe 0.0000 0.0000 0.0000
Rh -2.8226 -1.2303 -2.2297
```

Summary:
ρ ... 5.071 Mg/m³
Total moment ... 0.1 μB/cell
Density of states at the Fermi level ... 3.75 states/eV/cell



ii | Material: FeP2RhCl
Method: DFT, PBE
State: optimized geometry

```
5
Lattice="4.5148 0.0000 0.0000 0.0000 4.5148 0.0000 0.0000 0.0000 4.8836" Properties=species:S:1:pos:R:3 pbc="T T T"
Fe 2.2574 2.2574 2.4418
Rh 0.0000 0.0000 0.0000
P 2.2574 0.0000 0.0000
P 0.0000 2.2574 0.0000
Cl 0.0000 0.0000 2.4418
```

Summary:
ρ ... 4.273 Mg/m³
Total moment ... 0.0 μB/cell
Density of states at the Fermi level ... 4.84 states/eV/cell



Most stable structure: i